[1]
Computed, not measured: Tb5HoIn4 after structural relaxation at the PBE level of DFT.

abc: 3.579 3.579 21.794
angles: 90.00 90.00 90.00
Fractional coordinates of all 10 atoms:
Tb (0.500, 0.500, 0.500)
Tb (0.500, 0.500, 0.886)
Tb (0.500, 0.500, 0.694)
Tb (0.500, 0.500, 0.114)
Tb (0.500, 0.500, 0.306)
In (0.000, 0.000, 0.403)
In (0.000, 0.000, 0.790)
In (0.000, 0.000, 0.210)
In (0.000, 0.000, 0.597)
Ho (0.000, 0.000, 0.000)

Results
The formation energy is -0.379 eV/atom. As for the space group: P4/mmm.


[2]
Computed, not measured: SrCdGe2 after structural relaxation at the PBE level of DFT.

abc: 4.421 4.659 4.659
angles: 90.00 90.00 90.00
Fractional coordinates of all 4 atoms:
Cd (0.500, 0.000, 0.000)
Sr (0.500, 0.500, 0.500)
Ge (0.000, 0.500, 0.000)
Ge (0.000, 0.000, 0.500)

Results
The formation energy is -0.179 eV/atom. As for the space group: P4/mmm.


[3]
Computed, not measured: BeFe2OsC after structural relaxation at the PBE level of DFT.

abc: 4.596 4.156 4.596
angles: 90.00 90.00 90.00
Fractional coordinates of all 5 atoms:
C (0.500, 0.500, 0.500)
Os (0.000, 0.000, 0.000)
Fe (0.500, 0.000, 0.000)
Fe (0.000, 0.000, 0.500)
Be (0.000, 0.500, 0.000)

Results
The formation energy is 2.412 eV/atom. As for the space group: P4/mmm.


[4]
Computed, not measured: AlAgP2 after structural relaxation at the PBE level of DFT.

abc: 9.833 9.833 9.833
angles: 16.95 16.95 16.95
Fractional coordinates of all 4 atoms:
P (0.019, 0.019, 0.019)
P (0.236, 0.236, 0.236)
Al (0.752, 0.752, 0.752)
Ag (0.494, 0.494, 0.494)

Results
The formation energy is 0.398 eV/atom. As for the space group: R3m.


[5]
Computed, not measured: LiIr2Ru after structural relaxation at the PBE level of DFT.

abc: 2.787 4.504 4.441
angles: 90.00 90.00 90.00
Fractional coordinates of all 4 atoms:
Ru (0.000, 0.500, 0.500)
Ir (0.500, 0.500, 0.000)
Ir (0.000, 0.000, 0.000)
Li (0.500, 0.000, 0.500)

Results
Its polymorph energy (0 for the lowest one) is 0.206 eV per atom. The formation energy is 0.180 eV/atom. As for the space group: Pmmm.


[6]
Computed, not measured: Mg16Al12Os after structural relaxation at the PBE level of DFT.

abc: 8.950 8.950 8.950
angles: 108.69 108.69 108.69
Fractional coordinates of all 29 atoms:
Mg (0.409, 0.681, 0.011)
Mg (0.409, 0.011, 0.681)
Mg (0.729, 0.320, 0.320)
Mg (0.320, 0.729, 0.320)
Mg (0.564, 0.315, 0.564)
Mg (0.681, 0.011, 0.409)
Mg (0.984, 0.984, 0.984)
Mg (0.564, 0.564, 0.315)
Mg (0.011, 0.409, 0.681)
Mg (0.011, 0.681, 0.409)
Mg (0.645, 0.003, 0.003)
Mg (0.681, 0.409, 0.011)
Mg (0.003, 0.645, 0.003)
Mg (0.003, 0.003, 0.645)
Mg (0.315, 0.564, 0.564)
Mg (0.320, 0.320, 0.729)
Al (0.185, 0.005, 0.365)
Al (0.809, 0.809, 0.205)
Al (0.205, 0.809, 0.809)
Al (0.005, 0.185, 0.365)
Al (0.365, 0.005, 0.185)
Al (0.655, 0.655, 0.847)
Al (0.847, 0.655, 0.655)
Al (0.809, 0.205, 0.809)
Al (0.005, 0.365, 0.185)
Al (0.185, 0.365, 0.005)
Al (0.365, 0.185, 0.005)
Al (0.655, 0.847, 0.655)
Os (0.265, 0.265, 0.265)

Results
The formation energy is -0.018 eV/atom. As for the space group: R3m.


[7]
Computed, not measured: CeNd9In2 after structural relaxation at the PBE level of DFT.

abc: 5.000 5.000 15.347
angles: 90.00 90.00 90.00
Fractional coordinates of all 12 atoms:
In (0.000, 0.000, 0.337)
In (0.000, 0.000, 0.663)
Nd (0.000, 0.500, 0.828)
Nd (0.500, 0.500, 0.338)
Nd (0.500, 0.500, 0.662)
Nd (0.500, 0.000, 0.828)
Nd (0.500, 0.000, 0.172)
Nd (0.500, 0.500, 0.000)
Nd (0.000, 0.500, 0.500)
Nd (0.500, 0.000, 0.500)
Nd (0.000, 0.500, 0.172)
Ce (0.000, 0.000, 0.000)

Results
The formation energy is -0.152 eV/atom. As for the space group: P4/mmm.


[8]
Computed, not measured: Dy4GePSe2 after structural relaxation at the PBE level of DFT.

abc: 4.083 7.111 7.065
angles: 70.69 90.00 90.00
Fractional coordinates of all 8 atoms:
Dy (0.500, 0.265, 0.747)
Dy (0.500, 0.735, 0.253)
Dy (0.000, 0.732, 0.758)
Dy (0.000, 0.268, 0.242)
Ge (0.000, 0.500, 0.500)
P (0.500, 0.500, 0.000)
Se (0.000, 0.000, 0.000)
Se (0.500, 0.000, 0.500)

Results
The raw formation energy comes out at -1.598 eV per atom. As for the space group: P2/m.


[9]
Computed, not measured: CaLaAsSe2 after structural relaxation at the PBE level of DFT.

abc: 5.681 5.681 5.571
angles: 90.00 90.00 90.00
Fractional coordinates of all 5 atoms:
As (0.000, 0.000, 0.500)
Se (0.000, 0.500, 0.000)
Se (0.500, 0.000, 0.000)
La (0.000, 0.000, 0.000)
Ca (0.500, 0.500, 0.500)

Results
Its polymorph energy (0 for the lowest one) is 0.008 eV per atom. The raw formation energy comes out at -0.711 eV per atom. As for the space group: P4/mmm.


[10]
Computed, not measured: AcPr3DyY after structural relaxation at the PBE level of DFT.

abc: 5.271 8.264 11.111
angles: 116.18 90.00 90.00
Fractional coordinates of all 12 atoms:
Ac (0.750, 0.879, 0.707)
Ac (0.250, 0.121, 0.293)
Pr (0.250, 0.627, 0.454)
Pr (0.750, 0.380, 0.207)
Pr (0.250, 0.620, 0.793)
Pr (0.750, 0.373, 0.546)
Pr (0.250, 0.132, 0.960)
Pr (0.750, 0.868, 0.040)
Dy (0.250, 0.130, 0.628)
Dy (0.750, 0.870, 0.372)
Y (0.250, 0.620, 0.123)
Y (0.750, 0.380, 0.877)

Results
The formation energy is 0.035 eV/atom. As for the space group: P2_1/m.


[11]
Computed, not measured: TlGa2OF after structural relaxation at the PBE level of DFT.

abc: 4.603 5.270 4.603
angles: 90.00 90.00 90.00
Fractional coordinates of all 5 atoms:
O (0.500, 0.500, 0.500)
Ga (0.000, 0.000, 0.500)
Ga (0.500, 0.000, 0.000)
Tl (0.000, 0.500, 0.000)
F (0.000, 0.000, 0.000)

Results
The raw formation energy comes out at -0.266 eV per atom. As for the space group: P4/mmm.


[12]
Computed, not measured: SrAuN2 after structural relaxation at the PBE level of DFT.

abc: 4.405 4.405 4.405
angles: 60.00 60.00 60.00
Fractional coordinates of all 4 atoms:
Au (0.500, 0.500, 0.500)
N (0.250, 0.250, 0.250)
N (0.750, 0.750, 0.750)
Sr (0.000, 0.000, 0.000)

Results
Its polymorph energy (0 for the lowest one) is 0.495 eV per atom. The raw formation energy comes out at 0.996 eV per atom. As for the space group: Fm-3m.


[13]
Computed, not measured: La2UAs3 after structural relaxation at the PBE level of DFT.

abc: 7.438 7.438 7.438
angles: 146.82 132.10 59.51
Fractional coordinates of all 6 atoms:
U (0.000, 0.000, 0.000)
As (0.155, 0.655, 0.500)
As (0.500, 0.000, 0.500)
As (0.845, 0.345, 0.500)
La (0.332, 0.332, 0.000)
La (0.668, 0.668, 0.000)

Results
Its polymorph energy (0 for the lowest one) is 0.000 eV per atom. The formation energy is -1.263 eV/atom. As for the space group: Immm.


[14]
Computed, not measured: VCuS after structural relaxation at the PBE level of DFT.

abc: 3.065 3.065 6.035
angles: 104.71 104.71 90.00
Fractional coordinates of all 3 atoms:
Cu (0.945, 0.945, 0.890)
V (0.162, 0.162, 0.324)
S (0.743, 0.743, 0.487)

Results
Its polymorph energy (0 for the lowest one) is 0.292 eV per atom. The raw formation energy comes out at 0.035 eV per atom. As for the space group: I4mm.


[15]
Computed, not measured: La2AlSe after structural relaxation at the PBE level of DFT.

abc: 5.515 5.515 5.515
angles: 128.06 119.69 83.58
Fractional coordinates of all 4 atoms:
La (0.989, 0.989, 0.000)
La (0.511, 0.511, 0.000)
Se (0.750, 0.250, 0.500)
Al (0.250, 0.750, 0.500)

Results
Its polymorph energy (0 for the lowest one) is 0.376 eV per atom. The raw formation energy comes out at -0.793 eV per atom. As for the space group: Immm.


[16]
Computed, not measured: LiTcIr2 after structural relaxation at the PBE level of DFT.

abc: 4.020 2.689 5.243
angles: 73.81 90.00 90.00
Fractional coordinates of all 4 atoms:
Ir (0.000, 0.100, 0.013)
Ir (0.000, 0.400, 0.487)
Tc (0.500, 0.750, 0.750)
Li (0.500, 0.250, 0.250)

Results
Its polymorph energy (0 for the lowest one) is 0.053 eV per atom. The formation energy is -0.062 eV/atom. As for the space group: P2/m.


[17]
Computed, not measured: Cs4TiTe4 after structural relaxation at the PBE level of DFT.

abc: 7.636 8.744 8.744
angles: 79.01 64.11 64.11
Fractional coordinates of all 9 atoms:
Cs (0.792, 0.633, 0.783)
Cs (0.425, 0.783, 0.367)
Cs (0.208, 0.367, 0.217)
Cs (0.575, 0.217, 0.633)
Te (0.077, 0.155, 0.690)
Te (0.767, 0.310, 0.155)
Te (0.923, 0.845, 0.310)
Te (0.233, 0.690, 0.845)
Ti (0.000, 0.000, 0.000)

Results
Its polymorph energy (0 for the lowest one) is 0.168 eV per atom. The raw formation energy comes out at -0.774 eV per atom. As for the space group: I4/m.


[18]
Computed, not measured: K2ZrIr after structural relaxation at the PBE level of DFT.

abc: 6.639 6.639 2.988
angles: 90.00 90.00 130.47
Fractional coordinates of all 4 atoms:
Zr (0.500, 0.000, 0.500)
K (0.500, 0.500, 0.000)
K (0.000, 0.000, 0.000)
Ir (0.000, 0.500, 0.500)

Results
Its polymorph energy (0 for the lowest one) is 0.758 eV per atom. The formation energy is 0.861 eV/atom. As for the space group: Cmmm.


[19]
Computed, not measured: Sr2AlCo after structural relaxation at the PBE level of DFT.

abc: 5.356 5.356 3.931
angles: 90.00 90.00 90.00
Fractional coordinates of all 4 atoms:
Co (0.000, 0.500, 0.500)
Sr (0.000, 0.000, 0.000)
Sr (0.500, 0.500, 0.000)
Al (0.500, 0.000, 0.500)

Results
The formation energy is 0.338 eV/atom. As for the space group: P4/mmm.


[20]
Computed, not measured: Na4CdHg3 after structural relaxation at the PBE level of DFT.

abc: 3.377 5.045 12.456
angles: 90.00 90.00 90.00
Fractional coordinates of all 8 atoms:
Na (0.000, 0.000, 0.165)
Na (0.500, 0.500, 0.339)
Na (0.500, 0.000, 0.663)
Na (0.000, 0.500, 0.835)
Hg (0.000, 0.000, 0.426)
Hg (0.500, 0.000, 0.927)
Hg (0.000, 0.500, 0.575)
Cd (0.500, 0.500, 0.070)

Results
Its polymorph energy (0 for the lowest one) is 0.000 eV per atom. The formation energy is -0.203 eV/atom. As for the space group: Pmm2.


[21]
Computed, not measured: Cd2TcBr after structural relaxation at the PBE level of DFT.

abc: 5.001 5.001 5.001
angles: 60.00 60.00 60.00
Fractional coordinates of all 4 atoms:
Cd (0.750, 0.750, 0.750)
Cd (0.250, 0.250, 0.250)
Tc (0.500, 0.500, 0.500)
Br (0.000, 0.000, 0.000)

Results
Its polymorph energy (0 for the lowest one) is 0.602 eV per atom. The raw formation energy comes out at 0.845 eV per atom. As for the space group: Fm-3m.


[22]
Computed, not measured: NbCoRu2 after structural relaxation at the PBE level of DFT.

abc: 3.785 3.785 9.050
angles: 77.93 77.93 90.00
Fractional coordinates of all 8 atoms:
Co (0.500, 0.500, 0.000)
Co (0.250, 0.750, 0.500)
Nb (0.000, 0.000, 0.000)
Nb (0.750, 0.250, 0.500)
Ru (0.167, 0.625, 0.250)
Ru (0.375, 0.417, 0.750)
Ru (0.875, 0.833, 0.750)
Ru (0.583, 0.125, 0.250)

Results
The formation energy is 0.422 eV/atom. As for the space group: I-42d.


[23]
Computed, not measured: DyZnIr4 after structural relaxation at the PBE level of DFT.

abc: 5.267 5.267 5.267
angles: 60.00 60.00 60.00
Fractional coordinates of all 6 atoms:
Ir (0.625, 0.625, 0.124)
Ir (0.124, 0.625, 0.625)
Ir (0.625, 0.625, 0.625)
Ir (0.625, 0.124, 0.625)
Dy (0.250, 0.250, 0.250)
Zn (0.000, 0.000, 0.000)

Results
The formation energy is -0.338 eV/atom. As for the space group: F-43m.


[24]
Computed, not measured: Ac2CdBr after structural relaxation at the PBE level of DFT.

abc: 4.024 4.024 10.455
angles: 78.90 78.90 60.00
Fractional coordinates of all 4 atoms:
Cd (0.000, 0.000, 0.000)
Br (0.500, 0.500, 0.500)
Ac (0.749, 0.749, 0.752)
Ac (0.251, 0.251, 0.248)

Results
Its polymorph energy (0 for the lowest one) is 0.022 eV per atom. The raw formation energy comes out at -0.672 eV per atom. As for the space group: R-3m.


[25]
Computed, not measured: HoNi3 after structural relaxation at the PBE level of DFT.

abc: 4.950 4.949 8.584
angles: 73.23 73.22 60.01
Fractional coordinates of all 12 atoms:
Ho (0.861, 0.861, 0.417)
Ho (0.000, 0.000, 0.000)
Ho (0.139, 0.139, 0.583)
Ni (0.583, 0.081, 0.754)
Ni (0.081, 0.583, 0.754)
Ni (0.333, 0.333, 0.001)
Ni (0.417, 0.417, 0.246)
Ni (0.667, 0.667, 0.999)
Ni (0.583, 0.583, 0.754)
Ni (0.500, 0.500, 0.500)
Ni (0.417, 0.919, 0.246)
Ni (0.919, 0.417, 0.246)

Results
The formation energy is -0.425 eV/atom. As for the space group: R-3m.


[26]
Computed, not measured: NaRe2HgW after structural relaxation at the PBE level of DFT.

abc: 4.763 5.557 4.763
angles: 90.00 90.00 90.00
Fractional coordinates of all 5 atoms:
W (0.000, 0.000, 0.000)
Re (0.500, 0.000, 0.000)
Re (0.000, 0.000, 0.500)
Hg (0.500, 0.500, 0.500)
Na (0.000, 0.500, 0.000)

Results
The formation energy is 1.976 eV/atom. As for the space group: P4/mmm.